The following is a DFT calculation (PBEsol) of crystalline AgPt at its relaxed geometry.

a = 6.2920 Å, b = 6.2920 Å, c = 8.9566 Å
α = 115.52°, β = 115.52°, γ = 36.29°
Positions (direct):
Ag: 0.0000 0.0000 0.0000
Ag: 0.0839 0.0839 0.7514
Ag: 0.1674 0.1674 0.4996
Ag: 0.3327 0.3327 0.9992
Ag: 0.4999 0.4999 0.4979
Ag: 0.7519 0.7519 0.7503
Pt: 0.2503 0.2503 0.2509
Pt: 0.4196 0.4196 0.7453
Pt: 0.5829 0.5829 0.2509
Pt: 0.6662 0.6662 0.0056
Pt: 0.8319 0.8319 0.4962
Pt: 0.9152 0.9152 0.2480

Summary:
* total DFT energy (no corrections): -5.104 eV per atom